Entry 1:
# GGA-PBE ZrTe2SeN, optimized geometry
# energy relative to the elements, uncorrected: 0.238 eV per atom
# excess energy over the best structure of this formula in the dataset: 0 meV per atom
# final energy: -5.09 eV per atom
# V: 26.444 Å³ per atom
# magnetization: 0.00 μB/f.u.
data_ZrTe2SeN
_cell_length_a 5.734
_cell_length_b 5.734
_cell_length_c 4.021
_cell_angle_alpha 90.00
_cell_angle_beta 90.00
_cell_angle_gamma 90.00
_symmetry_space_group_name_H-M 'P 4/m m m'
_symmetry_Int_Tables_number 123
_symmetry_space_group_name_Hall '-P 4 2'
loop_
_atom_site_label
_atom_site_type_symbol
_atom_site_fract_x
_atom_site_fract_y
_atom_site_fract_z
_atom_site_occupancy
Zr1 Zr 0.000 0.000 0.000 1
Te1 Te 0.000 0.500 0.000 1
Se1 Se 0.500 0.500 0.500 1
N1 N 0.000 0.000 0.500 1

Entry 2:
# GGA-PBE La12Al5Ga3, optimized geometry
# final energy: -4.19 eV per atom
# V: 36.797 Å³ per atom
# magnetization: 0.00 μB/f.u.
# formation energy from the elements: 0.1604 eV per atom
data_La12Al5Ga3
_cell_length_a 18.057
_cell_length_b 18.057
_cell_length_c 18.057
_cell_angle_alpha 90.00
_cell_angle_beta 90.00
_cell_angle_gamma 90.00
_symmetry_space_group_name_H-M 'I a -3 d'
_symmetry_Int_Tables_number 230
_symmetry_space_group_name_Hall '-I 4bd 2c 3'
loop_
_atom_site_label
_atom_site_type_symbol
_atom_site_fract_x
_atom_site_fract_y
_atom_site_fract_z
_atom_site_occupancy
La1 La 0.014 0.075 0.652 1
Al1 Al 0.000 0.000 0.000 1
Al2 Al 0.000 0.250 0.375 1
Ga1 Ga 0.000 0.250 0.125 1

Entry 3:
# GGA-PBE CrAs2Au, optimized geometry
# excess energy over the best structure of this formula in the dataset: 39 meV per atom
# final energy: -5.42 eV per atom
# V: 17.765 Å³ per atom
# magnetization: 3.04 μB/f.u.
# formation energy from the elements: 0.1336 eV per atom
data_CrAs2Au
_cell_length_a 8.745
_cell_length_b 3.631
_cell_length_c 4.666
_cell_angle_alpha 90.00
_cell_angle_beta 106.42
_cell_angle_gamma 90.00
_symmetry_space_group_name_H-M 'C 1 m 1'
_symmetry_Int_Tables_number 8
_symmetry_space_group_name_Hall 'C -2y'
loop_
_atom_site_label
_atom_site_type_symbol
_atom_site_fract_x
_atom_site_fract_y
_atom_site_fract_z
_atom_site_occupancy
Cr1 Cr 0.000 0.000 0.000 1
As1 As 0.223 0.500 0.064 1
As2 As 0.484 0.000 0.449 1
Au1 Au 0.230 0.000 0.631 1